Density functional theory data (GGA-PBEsol) for an optimized crystal structure of ZnCuNF2.

Values from the calculation:
Theoretical density = 5053 kg/m3
Symmetry = P4/mmm (123)
D(E_F) = 2.08 states/eV/f.u.
Raw formation energy = -0.698 eV/f.u.

Lattice parameters (Å, degrees): 3.899 3.899 3.912 90.00 90.00 90.00
Fractional positions:
Zn 0.000 0.000 0.000
Cu 0.500 0.500 0.500
N 0.000 0.000 0.500
F 0.000 0.500 0.000
F 0.500 0.000 0.000

Density functional theory data (GGA-PBEsol) for an optimized crystal structure of Na2CuF4.

Values from the calculation:
Theoretical density = 3643 kg/m3
Symmetry = P2_1/c (14)
Raw formation energy = -15.646 eV/f.u.

Lattice parameters (Å, degrees): 3.284 9.194 5.607 90.00 92.49 90.00
Fractional positions:
Na 0.018 0.182 0.416
Na 0.018 0.318 0.916
Na 0.982 0.682 0.084
Na 0.982 0.818 0.584
Cu 0.500 0.000 0.000
Cu 0.500 0.500 0.500
F 0.079 0.050 0.765
F 0.079 0.450 0.265
F 0.488 0.692 0.376
F 0.488 0.808 0.876
F 0.512 0.192 0.124
F 0.512 0.308 0.624
F 0.921 0.550 0.735
F 0.921 0.950 0.235

Density functional theory data (GGA-PBEsol) for an optimized crystal structure of NaSr7Cu8S8F8.

Values from the calculation:
Theoretical density = 4977 kg/m3
Symmetry = P4mm (99)
D(E_F) = 7.56 states/eV/f.u.
Raw formation energy = -65.194 eV/f.u.

Lattice parameters (Å, degrees): 7.770 7.770 8.584 90.00 90.00 90.00
Fractional positions:
Na 0.000 0.000 0.000
Sr 0.000 0.500 0.032
Sr 0.248 0.248 0.697
Sr 0.248 0.752 0.697
Sr 0.500 0.000 0.032
Sr 0.500 0.500 0.036
Sr 0.752 0.248 0.697
Sr 0.752 0.752 0.697
Cu 0.000 0.249 0.360
Cu 0.000 0.751 0.360
Cu 0.249 0.000 0.360
Cu 0.251 0.500 0.364
Cu 0.500 0.251 0.364
Cu 0.500 0.749 0.364
Cu 0.749 0.500 0.364
Cu 0.751 0.000 0.360
S 0.000 0.000 0.520
S 0.000 0.500 0.521
S 0.251 0.251 0.207
S 0.251 0.749 0.207
S 0.500 0.000 0.521
S 0.500 0.500 0.525
S 0.749 0.251 0.207
S 0.749 0.749 0.207
F 0.000 0.253 0.861
F 0.000 0.747 0.861
F 0.252 0.500 0.865
F 0.253 0.000 0.861
F 0.500 0.252 0.865
F 0.500 0.748 0.865
F 0.747 0.000 0.861
F 0.748 0.500 0.865

Density functional theory data (GGA-PBEsol) for an optimized crystal structure of Na2ScCuF7.

Values from the calculation:
Theoretical density = 3473 kg/m3
Symmetry = Pnma (62)
D(E_F) = 2.71 states/eV/f.u.
Raw formation energy = -31.517 eV/f.u.

Lattice parameters (Å, degrees): 10.151 7.239 7.481 90.00 90.00 90.00
Fractional positions:
Na 0.000 0.000 0.000
Na 0.000 0.500 0.000
Na 0.240 0.250 0.273
Na 0.260 0.750 0.773
Na 0.500 0.000 0.500
Na 0.500 0.500 0.500
Na 0.740 0.250 0.227
Na 0.760 0.750 0.727
Sc 0.223 0.250 0.749
Sc 0.277 0.750 0.249
Sc 0.723 0.250 0.751
Sc 0.777 0.750 0.251
Cu 0.000 0.000 0.500
Cu 0.000 0.500 0.500
Cu 0.500 0.000 0.000
Cu 0.500 0.500 0.000
F 0.077 0.250 0.507
F 0.124 0.001 0.731
F 0.124 0.499 0.731
F 0.142 0.250 0.999
F 0.142 0.558 0.343
F 0.142 0.942 0.343
F 0.156 0.750 0.040
F 0.344 0.250 0.540
F 0.358 0.058 0.843
F 0.358 0.442 0.843
F 0.358 0.750 0.499
F 0.376 0.501 0.231
F 0.376 0.999 0.231
F 0.423 0.750 0.007
F 0.577 0.250 0.993
F 0.624 0.001 0.769
F 0.624 0.499 0.769
F 0.642 0.250 0.501
F 0.642 0.558 0.157
F 0.642 0.942 0.157
F 0.656 0.750 0.460
F 0.844 0.250 0.960
F 0.858 0.058 0.657
F 0.858 0.442 0.657
F 0.858 0.750 0.001
F 0.876 0.501 0.269
F 0.876 0.999 0.269
F 0.923 0.750 0.493

Density functional theory data (GGA-PBEsol) for an optimized crystal structure of NaCuTcF2.

Values from the calculation:
Theoretical density = 3686 kg/m3
Symmetry = P4/mmm (123)
D(E_F) = 3.21 states/eV/f.u.
Raw formation energy = -0.908 eV/f.u.

Lattice parameters (Å, degrees): 3.978 3.978 6.336 90.00 90.00 90.00
Fractional positions:
Na 0.000 0.000 0.000
Cu 0.500 0.500 0.000
Tc 0.000 0.000 0.500
F 0.000 0.500 0.500
F 0.500 0.000 0.500

Density functional theory data (GGA-PBEsol) for an optimized crystal structure of NbCuO3F.

Values from the calculation:
Theoretical density = 4915 kg/m3
Symmetry = P-1 (2)
D(E_F) = 0.28 states/eV/f.u.
Raw formation energy = -11.668 eV/f.u.

Lattice parameters (Å, degrees): 3.807 6.589 6.635 66.69 81.00 86.52
Fractional positions:
Nb 0.235 0.281 0.163
Nb 0.765 0.719 0.837
Cu 0.213 0.690 0.357
Cu 0.787 0.310 0.643
O 0.176 0.389 0.397
O 0.220 0.986 0.310
O 0.251 0.645 0.919
O 0.749 0.355 0.081
O 0.780 0.014 0.690
O 0.824 0.611 0.603
F 0.335 0.259 0.849
F 0.665 0.741 0.151

Which of these has the highest raw formation energy? ZnCuNF2